Entry 1:
DFT (GGA-PBE) results for a relaxed structure of Cs2SmTmO4.

a = 3.5787 Å, b = 6.1986 Å, c = 7.1998 Å
α = 106.64°, β = 90.00°, γ = 90.00°
Closest atoms and distances in Å follow each position.
Atoms (fractional coordinates):
1 Cs 0.5000 0.0000 0.5000  6 O 3.07-3.08
2 Cs 0.0000 0.5000 0.5000  6 O 3.12-3.14
3 Sm 0.5000 0.5000 0.0000  6 O 2.39-2.41
4 Tm 0.0000 0.0000 0.0000  6 O 2.31-2.33
5 O 0.5000 0.2124 0.1643  2 Tm 2.33, 1 Sm 2.41
6 O 0.5000 0.7876 0.8357  2 Tm 2.33, 1 Sm 2.41
7 O 0.0000 0.2684 0.8349  1 Tm 2.31, 2 Sm 2.39
8 O 0.0000 0.7316 0.1651  1 Tm 2.31, 2 Sm 2.39

Summary:
energy relative to the elements, uncorrected: -2597 meV per atom
symmetry: P2/m

---

Entry 2:
DFT (GGA-PBE) results for a relaxed structure of Li5AlZn2.

a = 3.1205 Å, b = 6.4593 Å, c = 12.4894 Å
α = 90.00°, β = 90.00°, γ = 90.00°
Closest atoms and distances in Å follow each position.
Atoms (fractional coordinates):
1 Li 0.0000 0.0000 0.0000  4 Li 2.71, 4 Zn 2.74
2 Li 0.0000 0.5000 0.5000  4 Li 2.71, 4 Zn 2.74
3 Li 0.0000 0.4901 0.7527  4 Li 2.70-2.77, 4 Zn 2.71-2.75
4 Li 0.0000 0.5099 0.2473  4 Li 2.70-2.77, 4 Zn 2.71-2.75
5 Li 0.0000 0.0099 0.2527  4 Li 2.70-2.77, 4 Zn 2.71-2.75
6 Li 0.0000 0.9901 0.7473  4 Li 2.70-2.77, 4 Zn 2.71-2.75
7 Li 0.5000 0.2433 0.8749  6 Li 2.70-2.77, 2 Al 2.76
8 Li 0.5000 0.7567 0.1251  6 Li 2.70-2.77, 2 Al 2.76
9 Li 0.5000 0.2567 0.3749  6 Li 2.70-2.77, 2 Al 2.76
10 Li 0.5000 0.7433 0.6251  6 Li 2.70-2.77, 2 Al 2.76
11 Al 0.0000 0.0000 0.5000  4 Zn 2.74, 4 Li 2.76
12 Al 0.0000 0.5000 0.0000  4 Zn 2.74, 4 Li 2.76
13 Zn 0.5000 0.2504 0.6261  6 Li 2.71-2.75, 2 Al 2.74
14 Zn 0.5000 0.7496 0.3739  6 Li 2.71-2.75, 2 Al 2.74
15 Zn 0.5000 0.2496 0.1261  6 Li 2.71-2.75, 2 Al 2.74
16 Zn 0.5000 0.7504 0.8739  6 Li 2.71-2.75, 2 Al 2.74

Summary:
energy of formation from the pure elements: -0.121 eV per atom
symmetry: Pbam

---

Entry 3:
DFT (GGA-PBE) results for a relaxed structure of Sr2ZnIn3Pt4.

a = 4.6735 Å, b = 4.6735 Å, c = 10.6265 Å
α = 90.00°, β = 90.00°, γ = 90.00°
Closest atoms and distances in Å follow each position.
Atoms (fractional coordinates):
1 Sr 0.5000 0.0000 0.2435  8 Pt 3.49-3.60, 6 In 3.53-3.59, 2 Zn 3.59
2 Sr 0.0000 0.5000 0.7565  8 Pt 3.49-3.60, 6 In 3.53-3.59, 2 Zn 3.59
3 Zn 0.5000 0.5000 0.5000  4 Pt 2.68
4 In 0.0000 0.0000 0.5000  4 Pt 2.68
5 In 0.5000 0.0000 0.8727  5 Pt 2.65-2.70
6 In 0.0000 0.5000 0.1273  5 Pt 2.65-2.70
7 Pt 0.5000 0.5000 0.0000  4 In 2.70
8 Pt 0.0000 0.0000 0.0000  4 In 2.70
9 Pt 0.5000 0.0000 0.6230  3 In 2.65-2.68, 2 Zn 2.68
10 Pt 0.0000 0.5000 0.3770  3 In 2.65-2.68, 2 Zn 2.68

Summary:
energy of formation from the pure elements: -0.665 eV per atom
symmetry: P-4m2

---

Entry 4:
DFT (GGA-PBE) results for a relaxed structure of Mg2GaNi2.

a = 5.1373 Å, b = 5.1373 Å, c = 7.0736 Å
α = 77.84°, β = 77.84°, γ = 59.14°
Closest atoms and distances in Å follow each position.
Atoms (fractional coordinates):
1 Mg 0.4848 0.2107 0.1508  6 Ni 2.72-2.80, 3 Ga 2.98-3.03
2 Mg 0.7893 0.5152 0.3492  6 Ni 2.72-2.80, 3 Ga 2.98-3.03
3 Mg 0.5152 0.7893 0.8492  6 Ni 2.72-2.80, 3 Ga 2.98-3.03
4 Mg 0.2107 0.4848 0.6508  6 Ni 2.72-2.80, 3 Ga 2.98-3.03
5 Ga 0.1509 0.8491 0.2500  4 Ni 2.35-2.39
6 Ga 0.8491 0.1509 0.7500  4 Ni 2.35-2.39
7 Ni 0.7275 0.0074 0.5010  2 Ga 2.35-2.39, 1 Ni 2.38
8 Ni 0.9926 0.2725 0.9990  2 Ga 2.35-2.39, 1 Ni 2.38
9 Ni 0.2725 0.9926 0.4990  2 Ga 2.35-2.39, 1 Ni 2.38
10 Ni 0.0074 0.7275 0.0010  2 Ga 2.35-2.39, 1 Ni 2.38

Summary:
energy of formation from the pure elements: -0.312 eV per atom
symmetry: C2/c